<w>
A plane-wave DFT calculation with PBE was carried out for crystalline YMg2Re at its relaxed geometry.

Values from the calculation:
crystal system	orthorhombic
V	82.8	Å³ per cell
magnetization	0.526	μB per formula unit

Cell: 4.201 4.285 4.600 Å, 90.00 90.00 90.00°
Last column: magnetic moment on the atom in μB.
Atoms (fractional coordinates):
1 Y 0.000 0.500 0.500  0.00
2 Re 0.500 0.000 0.500  0.47
3 Mg 0.500 0.500 0.000  0.00
4 Mg 0.000 0.000 0.000  -0.01

<x>
A plane-wave DFT calculation with PBE was carried out for crystalline YMg2Re at its relaxed geometry.

Values from the calculation:
crystal system	trigonal
V	81.3	Å³ per cell
magnetization	0.000	μB per formula unit

Cell: 10.619 10.619 10.619 Å, 16.21 16.21 16.21°
Atoms (fractional coordinates):
1 Y 0.750 0.750 0.750
2 Re 0.250 0.250 0.250
3 Mg 0.511 0.511 0.511
4 Mg 0.989 0.989 0.989

Which of them is the most stable? Correct choice: <w>.

<w>
A plane-wave DFT calculation with PBE was carried out for crystalline YMgRe at its relaxed geometry.

Values from the calculation:
crystal system	orthorhombic
V	60.7	Å³ per cell
magnetization	0.000	μB per formula unit

Cell: 5.390 5.390 5.390 Å, 148.28 131.96 58.72°
Atoms (fractional coordinates):
1 Re 0.341 0.341 0.000
2 Mg 0.985 0.985 0.000
3 Y 0.674 0.674 0.000

<x>
A plane-wave DFT calculation with PBE was carried out for crystalline YMgRe at its relaxed geometry.

Values from the calculation:
crystal system	trigonal
V	60.5	Å³ per cell
magnetization	0.000	μB per formula unit

Cell: 4.912 4.912 2.898 Å, 90.00 90.00 120.00°
Atoms (fractional coordinates):
1 Mg 0.000 0.000 0.104
2 Y 0.333 0.667 0.669
3 Re 0.667 0.333 0.227

<y>
A plane-wave DFT calculation with PBE was carried out for crystalline YMgRe at its relaxed geometry.

Values from the calculation:
crystal system	tetragonal
V	64.3	Å³ per cell
magnetization	0.000	μB per formula unit

Cell: 7.022 7.022 7.022 Å, 154.46 154.46 36.44°
Atoms (fractional coordinates):
1 Mg 0.025 0.025 0.000
2 Re 0.662 0.662 0.000
3 Y 0.313 0.313 0.000

Which of them is the most stable? Correct choice: <x>.

<w>
A plane-wave DFT calculation with PBE was carried out for crystalline YMgRe at its relaxed geometry.

Values from the calculation:
crystal system	cubic
V	73.3	Å³ per cell
magnetization	0.735	μB per formula unit

Cell: 4.698 4.698 4.698 Å, 60.00 60.00 60.00°
Last column: magnetic moment on the atom in μB.
Atoms (fractional coordinates):
1 Re 0.750 0.750 0.750  0.64
2 Mg 0.500 0.500 0.500  -0.01
3 Y 0.000 0.000 0.000  0.01

<x>
A plane-wave DFT calculation with PBE was carried out for crystalline YMgRe at its relaxed geometry.

Values from the calculation:
crystal system	cubic
V	77.9	Å³ per cell
magnetization	1.847	μB per formula unit

Cell: 4.793 4.793 4.793 Å, 60.00 60.00 60.00°
Last column: magnetic moment on the atom in μB.
Atoms (fractional coordinates):
1 Mg 0.000 0.000 0.000  -0.01
2 Y 0.750 0.750 0.750  0.07
3 Re 0.500 0.500 0.500  1.58

<y>
A plane-wave DFT calculation with PBE was carried out for crystalline YMgRe at its relaxed geometry.

Values from the calculation:
crystal system	tetragonal
V	61.6	Å³ per cell
magnetization	0.000	μB per formula unit

Cell: 5.492 5.492 5.492 Å, 142.26 142.26 54.43°
Atoms (fractional coordinates):
1 Re 0.347 0.347 0.000
2 Mg 0.975 0.975 0.000
3 Y 0.678 0.678 0.000

<z>
A plane-wave DFT calculation with PBE was carried out for crystalline YMgRe at its relaxed geometry.

Values from the calculation:
crystal system	orthorhombic
V	62.1	Å³ per cell
magnetization	0.000	μB per formula unit

Cell: 7.630 7.463 2.990 Å, 81.73 75.45 22.82°
Atoms (fractional coordinates):
1 Mg 0.981 0.981 0.019
2 Re 0.336 0.336 0.664
3 Y 0.683 0.683 0.317

Which of them is the most stable? Correct choice: <y>.

<w>
A plane-wave DFT calculation with PBE was carried out for crystalline MgZnRe at its relaxed geometry.

Values from the calculation:
crystal system	cubic
V	54.4	Å³ per cell
magnetization	1.732	μB per formula unit

Cell: 4.253 4.253 4.253 Å, 60.00 60.00 60.00°
Last column: magnetic moment on the atom in μB.
Atoms (fractional coordinates):
1 Mg 0.000 0.000 0.000  -0.02
2 Re 0.500 0.500 0.500  1.60
3 Zn 0.750 0.750 0.750  0.01

<x>
A plane-wave DFT calculation with PBE was carried out for crystalline MgZnRe at its relaxed geometry.

Values from the calculation:
crystal system	orthorhombic
V	47.2	Å³ per cell
magnetization	0.000	μB per formula unit

Cell: 7.126 6.952 2.719 Å, 82.49 75.28 22.23°
Atoms (fractional coordinates):
1 Zn 0.330 0.330 0.670
2 Mg 0.001 0.001 0.999
3 Re 0.669 0.669 0.331

<y>
A plane-wave DFT calculation with PBE was carried out for crystalline MgZnRe at its relaxed geometry.

Values from the calculation:
crystal system	tetragonal
V	100.9	Å³ per cell
magnetization	0.000	μB per formula unit

Cell: 3.033 3.033 10.969 Å, 90.00 90.00 90.00°
Atoms (fractional coordinates):
1 Mg 0.000 0.500 0.893
2 Mg 0.500 0.000 0.107
3 Zn 0.000 0.500 0.276
4 Zn 0.500 0.000 0.724
5 Re 0.500 0.000 0.434
6 Re 0.000 0.500 0.566

Which of them is the most stable? Correct choice: <y>.

<w>
A plane-wave DFT calculation with PBE was carried out for crystalline MgZnRe at its relaxed geometry.

Values from the calculation:
crystal system	trigonal
V	47.7	Å³ per cell
magnetization	0.000	μB per formula unit

Cell: 2.825 2.825 6.897 Å, 90.00 90.00 120.00°
Atoms (fractional coordinates):
1 Mg 0.000 0.000 0.002
2 Re 0.667 0.333 0.339
3 Zn 0.333 0.667 0.659

<x>
A plane-wave DFT calculation with PBE was carried out for crystalline MgZnRe at its relaxed geometry.

Values from the calculation:
crystal system	orthorhombic
V	46.7	Å³ per cell
magnetization	0.000	μB per formula unit

Cell: 4.869 4.869 4.869 Å, 148.36 128.87 61.38°
Atoms (fractional coordinates):
1 Mg 0.000 0.000 0.000
2 Re 0.331 0.331 0.000
3 Zn 0.669 0.669 0.000

<y>
A plane-wave DFT calculation with PBE was carried out for crystalline MgZnRe at its relaxed geometry.

Values from the calculation:
crystal system	tetragonal
V	47.5	Å³ per cell
magnetization	0.000	μB per formula unit

Cell: 6.777 6.777 6.777 Å, 156.99 156.99 32.77°
Atoms (fractional coordinates):
1 Re 0.330 0.330 0.000
2 Mg 0.998 0.998 0.000
3 Zn 0.672 0.672 0.000

Which of them is the most stable? Correct choice: <w>.

<w>
A plane-wave DFT calculation with PBE was carried out for crystalline MgZnRe2 at its relaxed geometry.

Values from the calculation:
crystal system	tetragonal
V	61.5	Å³ per cell
magnetization	0.000	μB per formula unit

Cell: 5.141 5.141 5.141 Å, 137.41 137.41 61.81°
Atoms (fractional coordinates):
1 Zn 0.250 0.750 0.500
2 Re 0.000 0.000 0.000
3 Re 0.500 0.500 0.000
4 Mg 0.750 0.250 0.500

<x>
A plane-wave DFT calculation with PBE was carried out for crystalline MgZnRe2 at its relaxed geometry.

Values from the calculation:
crystal system	tetragonal
V	134.9	Å³ per cell
magnetization	0.000	μB per formula unit

Cell: 7.368 7.368 5.772 Å, 50.34 50.34 90.00°
Atoms (fractional coordinates):
1 Re 0.375 0.338 0.750
2 Re 0.875 0.912 0.750
3 Re 0.662 0.125 0.250
4 Re 0.088 0.625 0.250
5 Mg 0.250 0.750 0.500
6 Mg 0.500 0.500 0.000
7 Zn 0.000 0.000 0.000
8 Zn 0.750 0.250 0.500

Which of them is the most stable? Correct choice: <w>.

<w>
A plane-wave DFT calculation with PBE was carried out for crystalline MgZnRe2 at its relaxed geometry.

Values from the calculation:
crystal system	orthorhombic
V	61.5	Å³ per cell
magnetization	0.000	μB per formula unit

Cell: 5.156 5.156 2.613 Å, 90.00 90.00 117.68°
Atoms (fractional coordinates):
1 Re 0.000 0.000 0.000
2 Re 0.500 0.500 0.000
3 Mg 0.000 0.500 0.500
4 Zn 0.500 0.000 0.500

<x>
A plane-wave DFT calculation with PBE was carried out for crystalline MgZnRe2 at its relaxed geometry.

Values from the calculation:
crystal system	monoclinic
V	62.5	Å³ per cell
magnetization	0.000	μB per formula unit

Cell: 4.397 2.732 5.285 Å, 79.79 90.00 90.00°
Atoms (fractional coordinates):
1 Re 0.500 0.278 0.226
2 Re 0.000 0.058 0.030
3 Zn 0.000 0.409 0.515
4 Mg 0.500 0.756 0.729

<y>
A plane-wave DFT calculation with PBE was carried out for crystalline MgZnRe2 at its relaxed geometry.

Values from the calculation:
crystal system	orthorhombic
V	61.0	Å³ per cell
magnetization	0.000	μB per formula unit

Cell: 3.150 4.278 4.524 Å, 90.00 90.00 90.00°
Atoms (fractional coordinates):
1 Zn 0.500 0.000 0.500
2 Re 0.000 0.000 0.000
3 Re 0.500 0.500 0.000
4 Mg 0.000 0.500 0.500

Which of them is the most stable? Correct choice: <x>.

<w>
A plane-wave DFT calculation with PBE was carried out for crystalline MgZnRe2 at its relaxed geometry.

Values from the calculation:
crystal system	monoclinic
V	61.8	Å³ per cell
magnetization	0.000	μB per formula unit

Cell: 4.680 4.680 5.026 Å, 83.93 83.93 34.40°
Atoms (fractional coordinates):
1 Mg 0.249 0.249 0.270
2 Zn 0.494 0.494 0.485
3 Re 0.004 0.004 0.970
4 Re 0.753 0.753 0.774

<x>
A plane-wave DFT calculation with PBE was carried out for crystalline MgZnRe2 at its relaxed geometry.

Values from the calculation:
crystal system	trigonal
V	64.0	Å³ per cell
magnetization	0.000	μB per formula unit

Cell: 9.376 9.376 9.376 Å, 17.35 17.35 17.35°
Atoms (fractional coordinates):
1 Re 0.995 0.995 0.995
2 Re 0.253 0.253 0.253
3 Mg 0.747 0.747 0.747
4 Zn 0.505 0.505 0.505

Which of them is the most stable? Correct choice: <x>.

<w>
A plane-wave DFT calculation with PBE was carried out for crystalline MgZrRe at its relaxed geometry.

Values from the calculation:
crystal system	tetragonal
V	56.8	Å³ per cell
magnetization	0.000	μB per formula unit

Cell: 5.384 5.384 5.384 Å, 142.77 142.77 53.67°
Atoms (fractional coordinates):
1 Mg 0.987 0.987 0.000
2 Re 0.326 0.326 0.000
3 Zr 0.686 0.686 0.000

<x>
A plane-wave DFT calculation with PBE was carried out for crystalline MgZrRe at its relaxed geometry.

Values from the calculation:
crystal system	cubic
V	65.5	Å³ per cell
magnetization	0.001	μB per formula unit

Cell: 4.525 4.525 4.525 Å, 60.00 60.00 60.00°
Atoms (fractional coordinates):
1 Re 0.250 0.250 0.250
2 Zr 0.000 0.000 0.000
3 Mg 0.500 0.500 0.500

<y>
A plane-wave DFT calculation with PBE was carried out for crystalline MgZrRe at its relaxed geometry.

Values from the calculation:
crystal system	tetragonal
V	56.3	Å³ per cell
magnetization	0.000	μB per formula unit

Cell: 7.479 7.479 7.479 Å, 158.48 158.48 30.62°
Atoms (fractional coordinates):
1 Zr 0.675 0.675 0.000
2 Mg 0.987 0.987 0.000
3 Re 0.337 0.337 0.000

<z>
A plane-wave DFT calculation with PBE was carried out for crystalline MgZrRe at its relaxed geometry.

Values from the calculation:
crystal system	orthorhombic
V	56.5	Å³ per cell
magnetization	0.000	μB per formula unit

Cell: 7.536 7.356 2.886 Å, 82.35 75.34 22.30°
Atoms (fractional coordinates):
1 Re 0.668 0.668 0.332
2 Zr 0.320 0.320 0.680
3 Mg 0.013 0.013 0.987

Which of them is the most stable? Correct choice: <w>.

<w>
A plane-wave DFT calculation with PBE was carried out for crystalline MgZrRe at its relaxed geometry.

Values from the calculation:
crystal system	cubic
V	66.8	Å³ per cell
magnetization	0.000	μB per formula unit

Cell: 4.554 4.554 4.554 Å, 60.00 60.00 60.00°
Atoms (fractional coordinates):
1 Mg 0.000 0.000 0.000
2 Re 0.500 0.500 0.500
3 Zr 0.250 0.250 0.250

<x>
A plane-wave DFT calculation with PBE was carried out for crystalline MgZrRe at its relaxed geometry.

Values from the calculation:
crystal system	trigonal
V	54.7	Å³ per cell
magnetization	0.000	μB per formula unit

Cell: 4.774 4.774 2.769 Å, 90.00 90.00 120.00°
Atoms (fractional coordinates):
1 Zr 0.667 0.333 0.636
2 Re 0.333 0.667 0.333
3 Mg 0.000 0.000 0.031

Which of them is the most stable? Correct choice: <x>.